# GGA-PBE Ho4PtAu, optimized geometry
data_Ho4PtAu
_symmetry_space_group_name_H-M 'P 1'
_symmetry_Int_Tables_number 1
_symmetry_space_group_name_Hall 'P 1'
_cell_length_a 7.026
_cell_length_b 6.980
_cell_length_c 6.956
_cell_angle_alpha 90.00
_cell_angle_beta 92.31
_cell_angle_gamma 90.00
loop_
_atom_site_label
_atom_site_type_symbol
_atom_site_fract_x
_atom_site_fract_y
_atom_site_fract_z
Ho1 Ho 0.155 0.160 0.172
Ho2 Ho 0.155 0.340 0.672
Ho3 Ho 0.334 0.656 0.146
Ho4 Ho 0.334 0.844 0.646
Ho5 Ho 0.666 0.156 0.354
Ho6 Ho 0.666 0.344 0.854
Ho7 Ho 0.845 0.660 0.328
Ho8 Ho 0.845 0.840 0.828
Pt1 Pt 0.000 0.000 0.500
Pt2 Pt 0.000 0.500 0.000
Au1 Au 0.500 0.000 0.000
Au2 Au 0.500 0.500 0.500
# Energy of formation from the pure elements (meV per atom): -640
# D(E_F) (states/eV/cell): 14.76

# GGA-PBE HoPt3Au, optimized geometry
data_HoPt3Au
_symmetry_space_group_name_H-M 'P 1'
_symmetry_Int_Tables_number 1
_symmetry_space_group_name_Hall 'P 1'
_cell_length_a 4.608
_cell_length_b 5.848
_cell_length_c 7.145
_cell_angle_alpha 90.00
_cell_angle_beta 90.00
_cell_angle_gamma 90.00
loop_
_atom_site_label
_atom_site_type_symbol
_atom_site_fract_x
_atom_site_fract_y
_atom_site_fract_z
Ho1 Ho 0.250 0.250 0.180
Ho2 Ho 0.750 0.750 0.820
Pt1 Pt 0.250 0.025 0.759
Pt2 Pt 0.250 0.475 0.759
Pt3 Pt 0.250 0.750 0.079
Pt4 Pt 0.750 0.250 0.921
Pt5 Pt 0.750 0.525 0.241
Pt6 Pt 0.750 0.975 0.241
Au1 Au 0.250 0.750 0.453
Au2 Au 0.750 0.250 0.547
# Energy above the lowest structure with this stoichiometry (meV per atom): 0
# Energy of formation from the pure elements (meV per atom): -574
# D(E_F) (states/eV/cell): 11.52

# GGA-PBE Ho5PtAu4, optimized geometry
data_Ho5PtAu4
_symmetry_space_group_name_H-M 'P 1'
_symmetry_Int_Tables_number 1
_symmetry_space_group_name_Hall 'P 1'
_cell_length_a 3.543
_cell_length_b 3.543
_cell_length_c 18.039
_cell_angle_alpha 90.00
_cell_angle_beta 90.00
_cell_angle_gamma 90.00
loop_
_atom_site_label
_atom_site_type_symbol
_atom_site_fract_x
_atom_site_fract_y
_atom_site_fract_z
Ho1 Ho 0.000 0.000 0.000
Ho2 Ho 0.000 0.000 0.203
Ho3 Ho 0.000 0.000 0.406
Ho4 Ho 0.000 0.000 0.594
Ho5 Ho 0.000 0.000 0.797
Pt1 Pt 0.500 0.500 0.500
Au1 Au 0.500 0.500 0.101
Au2 Au 0.500 0.500 0.302
Au3 Au 0.500 0.500 0.698
Au4 Au 0.500 0.500 0.899
# Energy of formation from the pure elements (meV per atom): -949
# D(E_F) (states/eV/cell): 3.98